Here is an optimized crystal structure of Tb5Ga4Ag from Alexandria via LeMat-Bulk. Energies are from PBE.

The value obtained for the formation energy is -0.530 eV/atom. The value obtained for the density of states at the Fermi level is 5.653 states/eV/f.u.

The structure belongs to space group P4/mmm (No. 123); the cell edges are 3.576, 3.576 and 18.257 Å and the angles 90.00°, 90.00° and 90.00°. The distinct sites, in fractional coordinates, are Tb at (0.000, 0.000, 0.000), Tb at (0.000, 0.000, 0.197), Tb at (0.000, 0.000, 0.395), Ga at (0.500, 0.500, 0.098), Ga at (0.500, 0.500, 0.298) and Ag at (0.500, 0.500, 0.500).



Here is an optimized crystal structure of BeCd2GeAu6 from Alexandria via LeMat-Bulk. Energies are from PBE.

The value obtained for the formation energy is 0.160 eV/atom. The value obtained for the density of states at the Fermi level is 4.185 states/eV/f.u.

The structure belongs to space group Fm-3m (No. 225); the cell edges are 9.416, 9.416 and 9.416 Å and the angles 90.00°, 90.00° and 90.00°. The distinct sites, in fractional coordinates, are Be at (0.000, 0.000, 0.000), Cd at (0.250, 0.250, 0.250), Ge at (0.000, 0.000, 0.500) and Au at (0.000, 0.000, 0.235).



Here is an optimized crystal structure of CaCr2CdRe from Alexandria via LeMat-Bulk. Energies are from PBE.

The value obtained for the formation energy is 1.009 eV/atom. The value obtained for the density of states at the Fermi level is 4.270 states/eV/f.u.

The structure belongs to space group P4/mmm (No. 123); the cell edges are 4.698, 4.698 and 5.538 Å and the angles 90.00°, 90.00° and 90.00°. The distinct sites, in fractional coordinates, are Ca at (0.000, 0.000, 0.000), Cr at (0.000, 0.500, 0.500), Cd at (0.500, 0.500, 0.000) and Re at (0.000, 0.000, 0.500).